Entry 1:
Material: NaAlSe2
Method: DFT, GGA-PBE
State: relaxed

The structure in POSCAR format:
```
NaAlSe2
1.0
4.3997 -4.7085 0.0000
4.3997 4.7085 0.0000
-3.7253 0.0000 5.0465
Na Al Se
2 2 4
Direct
0.1126 0.8874 0.7500
0.8874 0.1126 0.2500
0.4917 0.5083 0.2500
0.5083 0.4917 0.7500
0.1757 0.4367 0.8275
0.4367 0.1757 0.3275
0.5633 0.8243 0.6725
0.8243 0.5633 0.1725
```

***

Entry 2:
Material: Na3AlSe
Method: DFT, GGA-PBE
State: relaxed

The structure in POSCAR format:
```
Na3AlSe
1.0
5.5101 0.0000 0.0000
0.0000 5.5101 0.0000
0.0000 0.0000 5.5101
Na Al Se
3 1 1
Direct
0.0000 0.0000 0.5000
0.0000 0.5000 0.0000
0.5000 0.0000 0.0000
0.5000 0.5000 0.5000
0.0000 0.0000 0.0000
```

Excess energy over the best structure of this formula in the dataset ... 0.0 meV/atom

***

Entry 3:
Material: Na3AlSe3
Method: DFT, GGA-PBE
State: relaxed

The structure in POSCAR format:
```
Na3AlSe3
1.0
4.0664 -6.3954 0.0000
4.0664 6.3954 0.0000
-1.2151 0.0000 7.1096
Na Al Se
6 2 6
Direct
0.1776 0.8224 0.0000
0.2448 0.7552 0.5000
0.4023 0.4023 0.1453
0.5977 0.5977 0.8547
0.7552 0.2448 0.5000
0.8224 0.1776 0.0000
0.1781 0.1781 0.6441
0.8219 0.8219 0.3559
0.1110 0.1110 0.3003
0.1550 0.4627 0.7731
0.4627 0.1550 0.7731
0.5373 0.8450 0.2269
0.8450 0.5373 0.2269
0.8890 0.8890 0.6997
```

Excess energy over the best structure of this formula in the dataset ... 19.0 meV/atom

***

Entry 4:
Material: Na3AlSe3
Method: DFT, GGA-PBE
State: relaxed

The structure in POSCAR format:
```
Na3AlSe3
1.0
7.5590 0.0000 0.0000
0.0000 7.2916 0.0000
-7.5198 0.0000 13.2877
Na Al Se
12 4 12
Direct
0.0616 0.0265 0.2865
0.0616 0.4735 0.7865
0.2704 0.5034 0.6102
0.2704 0.9966 0.1102
0.3086 0.0035 0.6022
0.3086 0.4965 0.1022
0.6914 0.5035 0.8978
0.6914 0.9965 0.3978
0.7296 0.0034 0.8898
0.7296 0.4966 0.3898
0.9384 0.5265 0.2135
0.9384 0.9735 0.7135
0.3381 0.6403 0.4198
0.3381 0.8597 0.9198
0.6619 0.1403 0.0802
0.6619 0.3597 0.5802
0.0528 0.7440 0.9276
0.0528 0.7560 0.4276
0.3458 0.1967 0.9269
0.3458 0.3033 0.4269
0.3458 0.7407 0.2738
0.3458 0.7593 0.7738
0.6542 0.2407 0.2262
0.6542 0.2593 0.7262
0.6542 0.6967 0.5731
0.6542 0.8033 0.0731
0.9472 0.2440 0.5724
0.9472 0.2560 0.0724
```

Excess energy over the best structure of this formula in the dataset ... 0.0 meV/atom

***

Entry 5:
Material: NaAlSe2
Method: DFT, GGA-PBE
State: relaxed

The structure in POSCAR format:
```
NaAlSe2
1.0
1.8816 -9.6019 0.0000
1.8816 9.6019 0.0000
0.0000 0.0000 5.7917
Na Al Se
2 2 4
Direct
0.0623 0.9377 0.7500
0.9377 0.0623 0.2500
0.3226 0.6774 0.7500
0.6774 0.3226 0.2500
0.0926 0.9074 0.2500
0.2041 0.7959 0.7500
0.7959 0.2041 0.2500
0.9074 0.0926 0.7500
```

***

Entry 6:
Material: NaAlSe2
Method: DFT, GGA-PBE
State: relaxed

The structure in POSCAR format:
```
NaAlSe2
1.0
5.6789 -3.3235 0.0000
5.6789 3.3235 0.0000
-5.6000 0.0000 6.7729
Na Al Se
2 2 4
Direct
0.1490 0.1490 0.3008
0.8510 0.8510 0.6992
0.3454 0.3801 0.9999
0.6199 0.6546 0.0001
0.2917 0.0475 0.9991
0.4213 0.3151 0.7332
0.6849 0.5787 0.2668
0.9525 0.7083 0.0009
```

***

Entry 7:
Material: NaAlSe2
Method: DFT, GGA-PBE
State: relaxed

The structure in POSCAR format:
```
NaAlSe2
1.0
7.8789 -1.9529 0.0000
7.8789 1.9529 0.0000
-0.0021 0.0000 6.7534
Na Al Se
2 2 4
Direct
0.0000 0.0000 0.0000
0.6305 0.6305 0.4996
0.2410 0.2410 0.9787
0.3897 0.3897 0.4788
0.2527 0.2527 0.6247
0.3779 0.3779 0.1248
0.6530 0.6530 0.0645
0.9777 0.9777 0.5648
```

***

Entry 8:
Material: NaAlSe2
Method: DFT, GGA-PBE
State: relaxed

The structure in POSCAR format:
```
NaAlSe2
1.0
6.0562 0.0000 0.0000
0.0030 7.0221 0.0000
2.9669 0.0269 7.1430
Na Al Se
2 2 4
Direct
0.0000 0.0000 0.0000
0.2563 0.5010 0.4920
0.2530 0.0012 0.4922
0.7435 0.0010 0.5115
0.0809 0.1915 0.3156
0.3983 0.1899 0.6887
0.5988 0.8136 0.3141
0.9161 0.8091 0.6870
```

***

Entry 9:
Material: NaAlSe2
Method: DFT, GGA-PBE
State: relaxed

The structure in POSCAR format:
```
NaAlSe2
1.0
3.9056 0.0000 0.0000
-0.0027 7.2064 0.0000
-1.9518 -1.5292 7.7064
Na Al Se
2 2 4
Direct
0.0000 0.0000 0.0000
0.3278 0.3402 0.6575
0.5730 0.5387 0.1491
0.7529 0.8019 0.5086
0.3391 0.9326 0.6808
0.6115 0.8769 0.2242
0.7155 0.4637 0.4335
0.9869 0.4079 0.9770
```

***

Entry 10:
Material: NaAlSe2
Method: DFT, GGA-PBE
State: relaxed

The structure in POSCAR format:
```
NaAlSe2
1.0
6.2581 0.0000 0.0000
2.6801 5.9215 0.0000
1.3512 2.9504 6.9028
Na Al Se
2 2 4
Direct
0.0015 0.1543 0.1926
0.9985 0.8457 0.8074
0.2589 0.4862 0.5000
0.7411 0.5138 0.5000
0.9996 0.3678 0.7656
0.0004 0.6322 0.2344
0.3529 0.8106 0.5004
0.6471 0.1894 0.4996
```

***

Entry 11:
Material: NaAlSe2
Method: DFT, GGA-PBE
State: relaxed

The structure in POSCAR format:
```
NaAlSe2
1.0
8.5339 0.0000 0.0000
0.0000 3.9556 0.0000
0.0000 0.0000 15.6671
Na Al Se
4 4 8
Direct
0.2471 0.2500 0.2419
0.2529 0.7500 0.7419
0.7471 0.2500 0.2581
0.7529 0.7500 0.7581
0.0417 0.7500 0.4202
0.4583 0.2500 0.9202
0.5417 0.7500 0.0798
0.9583 0.2500 0.5798
0.0000 0.2500 0.7244
0.0000 0.7500 0.2756
0.1851 0.2500 0.4806
0.3149 0.7500 0.9806
0.5000 0.2500 0.7756
0.5000 0.7500 0.2244
0.6851 0.2500 0.0194
0.8149 0.7500 0.5194
```

***

Entry 12:
Material: NaAlSi2Se6
Method: DFT, GGA-PBE
State: relaxed

The structure in POSCAR format:
```
NaAlSi2Se6
1.0
6.6041 -6.5177 0.0000
6.6041 6.5177 0.0000
-2.6470 0.0000 6.4093
Na Al Si Se
2 2 4 12
Direct
0.1304 0.8696 0.7500
0.8696 0.1304 0.2500
0.2108 0.7892 0.2500
0.7892 0.2108 0.7500
0.2231 0.3746 0.8097
0.3746 0.2231 0.3097
0.6254 0.7769 0.6903
0.7769 0.6254 0.1903
0.0367 0.1843 0.6784
0.1319 0.6063 0.9138
0.1843 0.0367 0.1784
0.3068 0.4246 0.5402
0.3937 0.8681 0.5862
0.4246 0.3068 0.0402
0.5754 0.6932 0.9598
0.6063 0.1319 0.4138
0.6932 0.5754 0.4598
0.8157 0.9633 0.8216
0.8681 0.3937 0.0862
0.9633 0.8157 0.3216
```

***

Number 1: calculated total energy -32.369 eV/cell. Number 2: calculated total energy -11.977 eV/cell. Number 3: calculated total energy -51.314 eV/cell. Number 4: calculated total energy -103.159 eV/cell. Number 5: calculated total energy -28.823 eV/cell. Number 6: calculated total energy -32.283 eV/cell. Number 7: calculated total energy -32.227 eV/cell. Number 8: calculated total energy -32.325 eV/cell. Number 9: calculated total energy -32.235 eV/cell. Number 10: calculated total energy -32.368 eV/cell. Number 11: calculated total energy -63.848 eV/cell. Number 12: calculated total energy -84.748 eV/cell.